Record 1
DFT (PBE-GGA) results for a geometry-optimized CoRe2W structure.

```
CoRe2W
1.0
-2.0089 -4.1402 1.0609
3.0752 -2.7085 2.3472
-1.4200 4.4570 0.6486
Re W Co
2 1 1
Direct
0.0000 0.0000 0.0000
0.5000 0.5000 0.0000
0.7500 0.2500 0.5000
0.2500 0.7500 0.5000
```

Output
Its space-group type is No. 139. The calculation puts the energy relative to the lowest polymorph listed for this composition at 70 meV/atom.

Record 2
DFT (PBE-GGA) results for a geometry-optimized Y6Tl3Au structure.

```
Y6Tl3Au
1.0
5.2451 0.0000 -0.0044
0.0000 9.0923 0.0000
0.0074 0.0000 11.9809
Y Tl Au
12 6 2
Direct
0.0000 0.0049 0.7581
0.0000 0.9951 0.2419
0.4997 0.8251 0.4100
0.9997 0.6612 0.5861
0.5003 0.1749 0.5900
0.9997 0.6749 0.9100
0.0003 0.3251 0.0900
0.5000 0.4951 0.2581
0.5000 0.5049 0.7419
0.4997 0.8388 0.0861
0.0003 0.3388 0.4139
0.5003 0.1612 0.9139
0.0000 0.3381 0.7562
0.5000 0.1619 0.2562
0.5000 0.5000 0.0000
0.0000 0.0000 0.5000
0.0000 0.6619 0.2438
0.5000 0.8381 0.7438
0.0000 0.0000 0.0000
0.5000 0.5000 0.5000
```

Output
Its space-group type is No. 58.

Record 3
DFT (PBE-GGA) results for a geometry-optimized TaCrSnOs structure.

```
TaCrSnOs
1.0
-3.0329 -0.1505 -1.0335
-0.4175 -2.7348 1.6236
-1.8689 3.2596 5.0099
Sn Ta Cr Os
1 1 1 1
Direct
0.0000 0.0000 0.7144
0.0000 0.0000 0.1925
0.5000 0.5000 0.9616
0.5000 0.5000 0.4425
```

Output
Its space-group type is No. 99.

Record 4
DFT (PBE-GGA) results for a geometry-optimized Zr2FeRe structure.

```
Zr2FeRe
1.0
7.1583 0.0000 0.0000
0.0000 7.1583 0.0000
3.5791 3.5791 2.8005
Re Fe Zr
2 2 4
Direct
0.0000 0.0000 0.0000
0.7500 0.2500 0.5000
0.5000 0.5000 0.0000
0.2500 0.7500 0.5000
0.6015 0.1250 0.2500
0.1485 0.6250 0.2500
0.8750 0.8515 0.7500
0.3750 0.3985 0.7500
```

Output
Its space-group type is No. 122. The calculation puts the energy relative to the lowest polymorph listed for this composition at 654 meV/atom.

In eV per atom, the energy relative to the elements values for the records above are, in order, 0.11, -0.38, 0.05, 0.47.